Computed, not measured: an optimized crystal structure of Co2SiNi at the PBE level of DFT.

Output
As for the symmetry: P2/m (10). The spin magnetization comes out at 2.064 Bohr magnetons per cell. The uncorrected formation energy comes out at -0.8 eV per formula unit.

a = 2.5576 Å, b = 3.5953 Å, c = 4.8384 Å
α = 90.00°, β = 100.33°, γ = 90.00°
Atoms (fractional coordinates):
Co 0.1025 0.0000 0.2580
Co 0.8975 0.0000 0.7420
Si 0.5000 0.5000 0.5000
Ni 0.5000 0.5000 0.0000

---

Computed, not measured: an optimized crystal structure of NbHN2 at the PBE level of DFT.

Output
As for the symmetry: Fm-3m (225). Its energy above the most stable polymorph in this dataset is 23.46 kcal/mol of atoms. The spin magnetization comes out at 0.000 Bohr magnetons per cell.

a = 5.1195 Å, b = 5.1195 Å, c = 5.1195 Å
α = 90.00°, β = 90.00°, γ = 90.00°
Atoms (fractional coordinates):
Nb 0.0000 0.0000 0.0000
Nb 0.0000 0.5000 0.5000
Nb 0.5000 0.0000 0.5000
Nb 0.5000 0.5000 0.0000
H 0.0000 0.0000 0.5000
H 0.0000 0.5000 0.0000
H 0.5000 0.0000 0.0000
H 0.5000 0.5000 0.5000
N 0.2500 0.2500 0.2500
N 0.2500 0.2500 0.7500
N 0.2500 0.7500 0.2500
N 0.2500 0.7500 0.7500
N 0.7500 0.2500 0.2500
N 0.7500 0.2500 0.7500
N 0.7500 0.7500 0.2500
N 0.7500 0.7500 0.7500

---

Computed, not measured: an optimized crystal structure of CaCePrLu at the PBE level of DFT.

Output
The calculated formation energy is 0.242 eV/atom. As for the symmetry: F-43m (216). The spin magnetization comes out at 8.497 Bohr magnetons per cell.

a = 8.1898 Å, b = 8.1898 Å, c = 8.1898 Å
α = 90.00°, β = 90.00°, γ = 90.00°
Atoms (fractional coordinates):
Ca 0.0000 0.0000 0.0000
Ca 0.0000 0.5000 0.5000
Ca 0.5000 0.0000 0.5000
Ca 0.5000 0.5000 0.0000
Ce 0.0000 0.0000 0.5000
Ce 0.0000 0.5000 0.0000
Ce 0.5000 0.0000 0.0000
Ce 0.5000 0.5000 0.5000
Pr 0.2500 0.2500 0.2500
Pr 0.2500 0.7500 0.7500
Pr 0.7500 0.2500 0.7500
Pr 0.7500 0.7500 0.2500
Lu 0.2500 0.2500 0.7500
Lu 0.2500 0.7500 0.2500
Lu 0.7500 0.2500 0.2500
Lu 0.7500 0.7500 0.7500

---

Computed, not measured: an optimized crystal structure of CaSbW2 at the PBE level of DFT.

Output
As for the symmetry: P2/m (10). The spin magnetization comes out at 0.000 Bohr magnetons per cell. The uncorrected formation energy comes out at 2.6 eV per formula unit.

a = 2.9399 Å, b = 5.2203 Å, c = 5.2909 Å
α = 90.00°, β = 91.23°, γ = 90.00°
Atoms (fractional coordinates):
Ca 0.0000 0.0000 0.0000
Sb 0.5000 0.0000 0.5000
W 0.4066 0.5000 0.7591
W 0.5934 0.5000 0.2409